# Be2TlCo, relaxed, DFT GGA-PBEsol
# Fermi-level density of states   0.69 states/eV per atom
# Spin magnetization   0.19 μB/cell
# Crystal system   tetragonal
# E   -4.202 eV/atom
data_Be2TlCo
_cell_length_a 3.716
_cell_length_b 3.716
_cell_length_c 3.483
_cell_angle_alpha 90.00
_cell_angle_beta 90.00
_cell_angle_gamma 90.00
_space_group_name_H-M_alt 'P 4/m m m'
_space_group_IT_number 123
_space_group_name_Hall '-P 4 2'
loop_
_atom_site_label
_atom_site_type_symbol
_atom_site_fract_x
_atom_site_fract_y
_atom_site_fract_z
_atom_site_occupancy
Be1 Be 0.000 0.500 0.000 1
Tl1 Tl 0.000 0.000 0.500 1
Co1 Co 0.500 0.500 0.500 1